# 1
First-principles (PBE-GGA) data for a geometry-optimized LaPrCdOs structure, as listed in the Alexandria database.

```
data_LaPrCdOs
_space_group_name_H-M_alt 'F -4 3 m'
_space_group_IT_number 216
_space_group_name_Hall 'F -4 2 3'
_cell_length_a 7.4175
_cell_length_b 7.4175
_cell_length_c 7.4175
_cell_angle_alpha 90.00
_cell_angle_beta 90.00
_cell_angle_gamma 90.00
loop_
_atom_site_label
_atom_site_fract_x
_atom_site_fract_y
_atom_site_fract_z
La1 0.0000 0.0000 0.0000
Pr1 0.0000 0.0000 0.5000
Cd1 0.2500 0.2500 0.2500
Os1 0.2500 0.2500 0.7500
```

- Energy of formation: -36 meV per atom

# 2
First-principles (PBE-GGA) data for a geometry-optimized In2BSbN structure, as listed in the Alexandria database.

```
data_In2BSbN
_space_group_name_H-M_alt 'P 4/m m m'
_space_group_IT_number 123
_space_group_name_Hall '-P 4 2'
_cell_length_a 6.7706
_cell_length_b 6.7706
_cell_length_c 2.7963
_cell_angle_alpha 90.00
_cell_angle_beta 90.00
_cell_angle_gamma 90.00
loop_
_atom_site_label
_atom_site_fract_x
_atom_site_fract_y
_atom_site_fract_z
In1 0.0000 0.5000 0.0000
B1 0.0000 0.0000 0.5000
Sb1 0.5000 0.5000 0.5000
N1 0.0000 0.0000 0.0000
```

- Formation energy (no corrections): 0.2171 eV per atom

# 3
First-principles (PBE-GGA) data for a geometry-optimized Pr12Y7In structure, as listed in the Alexandria database.

```
data_Pr12Y7In
_space_group_name_H-M_alt 'I m -3 m'
_space_group_IT_number 229
_space_group_name_Hall '-I 4 2 3'
_cell_length_a 11.7174
_cell_length_b 11.7174
_cell_length_c 11.7174
_cell_angle_alpha 90.00
_cell_angle_beta 90.00
_cell_angle_gamma 90.00
loop_
_atom_site_label
_atom_site_fract_x
_atom_site_fract_y
_atom_site_fract_z
Pr1 0.0000 0.2177 0.2177
Y1 0.0000 0.0000 0.5000
Y2 0.2500 0.2500 0.2500
In1 0.0000 0.0000 0.0000
```

- Energy of formation: 639 meV per atom

# 4
First-principles (PBE-GGA) data for a geometry-optimized YSn structure, as listed in the Alexandria database.

```
data_YSn
_space_group_name_H-M_alt 'F m -3 m'
_space_group_IT_number 225
_space_group_name_Hall '-F 4 2 3'
_cell_length_a 6.2265
_cell_length_b 6.2265
_cell_length_c 6.2265
_cell_angle_alpha 90.00
_cell_angle_beta 90.00
_cell_angle_gamma 90.00
loop_
_atom_site_label
_atom_site_fract_x
_atom_site_fract_y
_atom_site_fract_z
Y1 0.0000 0.0000 0.0000
Sn1 0.0000 0.0000 0.5000
```

- Energy of formation: -523 meV per atom

# 5
First-principles (PBE-GGA) data for a geometry-optimized Cr3Re structure, as listed in the Alexandria database.

```
data_Cr3Re
_space_group_name_H-M_alt 'I 4/m m m'
_space_group_IT_number 139
_space_group_name_Hall '-I 4 2'
_cell_length_a 3.6080
_cell_length_b 3.6080
_cell_length_c 15.6937
_cell_angle_alpha 90.00
_cell_angle_beta 90.00
_cell_angle_gamma 90.00
loop_
_atom_site_label
_atom_site_fract_x
_atom_site_fract_y
_atom_site_fract_z
Cr1 0.0000 0.0000 0.1249
Cr2 0.0000 0.5000 0.0000
Cr3 0.0000 0.5000 0.2500
Re1 0.0000 0.0000 0.3748
```

- Energy of formation: 271 meV per atom

> Number 3 is which compound?

Pr12Y7In

Please write out number 1 again, unchanged.
First-principles (PBE-GGA) data for a geometry-optimized LaPrCdOs structure, as listed in the Alexandria database.

```
data_LaPrCdOs
_space_group_name_H-M_alt 'F -4 3 m'
_space_group_IT_number 216
_space_group_name_Hall 'F -4 2 3'
_cell_length_a 7.4175
_cell_length_b 7.4175
_cell_length_c 7.4175
_cell_angle_alpha 90.00
_cell_angle_beta 90.00
_cell_angle_gamma 90.00
loop_
_atom_site_label
_atom_site_fract_x
_atom_site_fract_y
_atom_site_fract_z
La1 0.0000 0.0000 0.0000
Pr1 0.0000 0.0000 0.5000
Cd1 0.2500 0.2500 0.2500
Os1 0.2500 0.2500 0.7500
```

- Energy of formation: -36 meV per atom